Entry from the Alexandria database: a relaxed structure of PuH6Rh2 (PBE).

Calculated values
Calculated total energy ... -5.65 eV/atom
Total moment ... 4.438 Bohr magnetons per cell
Space-group type ... P6/mmm, No. 191

Cell lengths 4.730, 4.730, 4.108 Å; angles 90.00, 90.00, 120.00 degrees
Sites, in units of the cell vectors:
Pu: 0.000 0.000 0.000
H: 0.501 0.000 0.224
H: 0.499 0.499 0.224
H: 0.000 0.501 0.224
H: 0.501 0.501 0.776
H: 0.000 0.499 0.776
H: 0.499 0.000 0.776
Rh: 0.333 0.667 0.500
Rh: 0.667 0.333 0.500